The following is a DFT calculation (PBE) of an optimized crystal structure of Pu3SiTe6.

The space group is Cmc2_1 (No. 36) and the conventional cell measures 12.189, 15.136 and 7.325 Å, with angles of 90.00, 90.00 and 90.00 degrees. The asymmetric unit holds Pu at (0.000, 0.102, 0.000), Pu at (0.178, 0.404, 0.916), Si at (0.000, 0.300, 0.364), Te at (0.000, 0.282, 0.717), Te at (0.000, 0.461, 0.229), Te at (0.162, 0.029, 0.708) and Te at (0.169, 0.237, 0.199).

As for the density: 7.499 g/cm3. As for the electronic total energy: -296.418 eV for the cell shown. The value obtained for the total magnetic moment is 0.55 μB per atom. The calculation puts the uncorrected formation energy at -0.684 eV per atom.